Entry 1:
# CsRbZnPO

An optimized crystal structure of CsRbZnPO (PBE, Alexandria via LeMat-Bulk).

```
5
Lattice="6.2984 0.0000 0.0000 0.0000 3.7220 0.0000 -1.5245 0.0000 6.4081" Properties=species:S:1:pos:R:3 pbc="T T T"
Cs 0.0000 0.0000 0.0000
Rb 1.3319 0.0000 4.1684
Zn 3.2283 1.8610 1.2699
P 4.4871 1.8610 3.0754
O 0.7354 1.8610 6.1822
```

Output
Its total energy is -16.63 eV for the cell shown. The symmetry is Pm (6). For the relative energy among the computed polymorphs, the calculation gives 0.072 eV per atom. The crystal system is monoclinic. The formation energy (no corrections) comes out at -0.633 eV per atom.

***

Entry 2:
# CsRbZnPO

An optimized crystal structure of CsRbZnPO (PBE, Alexandria via LeMat-Bulk).

```
5
Lattice="6.4998 -2.1080 0.0000 6.4998 2.1080 0.0000 -6.0691 0.0000 6.9620" Properties=species:S:1:pos:R:3 pbc="T T T"
Cs 0.0000 0.0000 0.0000
Rb 4.0589 0.0000 4.0391
Zn 7.5508 0.0000 3.1639
P 0.4320 0.0000 4.0429
O -0.7931 0.0000 5.1320
```

Output
Its total energy is -16.95 eV for the cell shown. The symmetry is Cm (8). For the relative energy among the computed polymorphs, the calculation gives 0.007 eV per atom. The crystal system is monoclinic. The formation energy (no corrections) comes out at -0.698 eV per atom.

***

Entry 3:
# CsRbZnPO

An optimized crystal structure of CsRbZnPO (PBE, Alexandria via LeMat-Bulk).

```
5
Lattice="3.3892 0.0000 0.0000 -0.0205 6.2824 0.0000 -1.6647 -1.3427 6.3018" Properties=species:S:1:pos:R:3 pbc="T T T"
Cs 0.0000 0.0000 0.0000
Rb 1.7220 3.3153 2.4318
Zn 0.0158 0.3932 3.4511
P 0.0167 1.8629 5.2116
O 1.7093 -0.1809 2.5762
```

Output
Its total energy is -16.65 eV for the cell shown. The symmetry is P1 (1). For the relative energy among the computed polymorphs, the calculation gives 0.067 eV per atom. The crystal system is triclinic. The formation energy (no corrections) comes out at -0.638 eV per atom.

***

Entry 4:
# CsRbZnPO

An optimized crystal structure of CsRbZnPO (PBE, Alexandria via LeMat-Bulk).

```
5
Lattice="4.1463 0.0000 0.0000 0.0173 6.1908 0.0000 2.0623 2.4640 6.4834" Properties=species:S:1:pos:R:3 pbc="T T T"
Cs 0.0000 0.0000 0.0000
Rb 4.1470 2.8515 2.4635
Zn 4.1640 5.9228 4.3255
P 2.0907 6.1576 3.2114
O 2.0736 0.9842 1.9205
```

Output
Its total energy is -16.87 eV for the cell shown. The symmetry is P1 (1). For the relative energy among the computed polymorphs, the calculation gives 0.024 eV per atom. The crystal system is triclinic. The formation energy (no corrections) comes out at -0.682 eV per atom.

***

Entry 5:
# CsRbZnPO

An optimized crystal structure of CsRbZnPO (PBE, Alexandria via LeMat-Bulk).

```
5
Lattice="5.2348 0.0000 0.0000 0.0000 4.2396 0.0000 -2.6194 0.0000 7.0398" Properties=species:S:1:pos:R:3 pbc="T T T"
Cs 0.0000 0.0000 0.0000
Rb 2.6071 2.1198 2.8788
Zn -0.0109 0.0000 4.4186
P -0.0032 2.1198 5.5084
O 2.6051 2.1198 0.0926
```

Output
Its total energy is -16.99 eV for the cell shown. The symmetry is Pm (6). For the relative energy among the computed polymorphs, the calculation gives 0.000 eV per atom. The crystal system is monoclinic. The formation energy (no corrections) comes out at -0.705 eV per atom.

***

Entry 6:
# CsRbZnPO

An optimized crystal structure of CsRbZnPO (PBE, Alexandria via LeMat-Bulk).

```
5
Lattice="4.9419 0.0000 0.0000 -0.0052 5.0253 0.0000 -0.7364 -2.4928 6.9117" Properties=species:S:1:pos:R:3 pbc="T T T"
Cs 0.0000 0.0000 0.0000
Rb 1.6982 -0.0058 3.5463
Zn 4.0979 2.5030 2.7894
P 2.4164 2.5152 1.1144
O 0.8882 2.5138 1.7400
```

Output
Its total energy is -16.46 eV for the cell shown. The symmetry is P1 (1). For the relative energy among the computed polymorphs, the calculation gives 0.106 eV per atom. The crystal system is triclinic. The formation energy (no corrections) comes out at -0.599 eV per atom.

***

Entry 7:
# CsPRhO2

An optimized crystal structure of CsPRhO2 (PBE, Alexandria via LeMat-Bulk).

```
5
Lattice="4.0823 0.0000 0.0000 0.0000 4.0823 0.0000 0.0000 0.0000 7.0090" Properties=species:S:1:pos:R:3 pbc="T T T"
Cs 0.0000 0.0000 0.0000
P 0.0000 0.0000 3.5045
Rh 2.0411 2.0411 3.5045
O 0.0000 2.0411 0.0000
O 2.0411 0.0000 0.0000
```

Output
Its total energy is -16.97 eV for the cell shown. The symmetry is P4/mmm (123). The crystal system is tetragonal. The formation energy (no corrections) comes out at 1.313 eV per atom.

***

Entry 8:
# CsP2RhO8

An optimized crystal structure of CsP2RhO8 (PBE, Alexandria via LeMat-Bulk).

```
12
Lattice="2.4573 1.4187 9.1883 -2.4573 1.4187 9.1883 0.0000 -2.8375 9.1883" Properties=species:S:1:pos:R:3 pbc="T T T"
Cs 0.0000 0.0000 0.0000
P 0.0000 0.0000 6.2625
P 0.0000 0.0000 21.3024
Rh 0.0000 0.0000 13.7825
O -1.6024 -0.2152 12.6419
O -0.6148 -1.4953 14.9230
O 0.0000 0.0000 7.7722
O -0.9876 1.2801 14.9230
O 0.9876 -1.2801 12.6419
O 0.0000 0.0000 19.7927
O 0.6148 1.4953 12.6419
O 1.6024 0.2152 14.9231
```

Output
Its total energy is -79.01 eV for the cell shown. The symmetry is R-3 (148). The crystal system is trigonal. The formation energy (no corrections) comes out at -1.693 eV per atom.

***

Entry 9:
# CsP2RuO8

An optimized crystal structure of CsP2RuO8 (PBE, Alexandria via LeMat-Bulk).

```
12
Lattice="2.4593 1.4199 9.2784 -2.4593 1.4199 9.2784 0.0000 -2.8398 9.2784" Properties=species:S:1:pos:R:3 pbc="T T T"
Cs 0.0000 0.0000 0.0000
P 0.0000 0.0000 6.3419
P 0.0000 0.0000 21.4931
Ru 0.0000 0.0000 13.9175
O -1.0012 -1.2456 12.7748
O -1.5794 0.2443 15.0602
O 0.0000 0.0000 7.8426
O 0.5781 -1.4899 15.0602
O -0.5781 1.4899 12.7748
O 0.0000 0.0000 19.9924
O 1.5794 -0.2443 12.7748
O 1.0012 1.2456 15.0602
```

Output
Its total energy is -82.23 eV for the cell shown. The symmetry is R-3 (148). The crystal system is trigonal. The formation energy (no corrections) comes out at -1.801 eV per atom.

***

Entry 10:
# CsPSO2

An optimized crystal structure of CsPSO2 (PBE, Alexandria via LeMat-Bulk).

```
20
Lattice="7.8918 0.0000 0.0000 2.1164 7.8723 0.0000 3.6403 0.0732 7.9932" Properties=species:S:1:pos:R:3 pbc="T T T"
Cs 1.9286 1.3184 1.1271
Cs 5.2709 5.0656 2.6478
Cs 8.3776 2.8799 5.3454
Cs 11.7200 6.6271 6.8661
P 4.2695 1.6134 4.6655
P 7.9677 7.2193 5.8528
P 5.6808 0.7262 2.1404
P 9.3791 6.3320 3.3277
S 4.7214 3.1072 5.8742
S 7.4268 5.9536 7.2648
S 6.2217 1.9919 0.7284
S 8.9272 4.8382 2.1190
O 2.9046 1.5600 4.0555
O 4.4898 0.1532 5.4056
O 5.4434 1.6123 3.5119
O 6.6657 7.6490 1.8933
O 6.9828 0.2965 6.0999
O 8.2051 6.3332 4.4813
O 9.1587 7.7923 2.5876
O 10.7439 6.3855 3.9377
```

Output
Its total energy is -115.90 eV for the cell shown. The symmetry is P-1 (2). The crystal system is triclinic. The formation energy (no corrections) comes out at -1.734 eV per atom.

***

Entry 11:
# CsPSO2

An optimized crystal structure of CsPSO2 (PBE, Alexandria via LeMat-Bulk).

```
5
Lattice="4.2338 0.0000 0.0000 0.0000 4.2338 0.0000 0.0000 0.0000 4.5927" Properties=species:S:1:pos:R:3 pbc="T T T"
Cs 0.0000 0.0000 0.0000
P 2.1169 2.1169 0.0000
S 2.1169 2.1169 2.2964
O 0.0000 2.1169 2.2964
O 2.1169 0.0000 2.2964
```

Output
Its total energy is -18.83 eV for the cell shown. The symmetry is P4/mmm (123). The crystal system is tetragonal. The formation energy (no corrections) comes out at 0.296 eV per atom.

***

Entry 12:
# CsPSO2

An optimized crystal structure of CsPSO2 (PBE, Alexandria via LeMat-Bulk).

```
5
Lattice="4.1374 0.0000 0.0000 0.0000 4.1374 0.0000 0.0000 0.0000 8.3100" Properties=species:S:1:pos:R:3 pbc="T T T"
Cs 0.0000 0.0000 0.0000
P 0.0000 0.0000 4.1550
S 2.0687 2.0687 4.1550
O 0.0000 2.0687 0.0000
O 2.0687 0.0000 0.0000
```

Output
Its total energy is -14.85 eV for the cell shown. The symmetry is P4/mmm (123). The crystal system is tetragonal. The formation energy (no corrections) comes out at 1.092 eV per atom.

***

Entry 13:
# CsSbP2O6

An optimized crystal structure of CsSbP2O6 (PBE, Alexandria via LeMat-Bulk).

```
20
Lattice="5.0645 -7.3916 0.0000 5.0645 7.3916 0.0000 -1.9247 0.0000 5.5796" Properties=species:S:1:pos:R:3 pbc="T T T"
Cs 3.6210 6.2994 4.1847
Cs 4.5833 -6.2994 1.3949
Sb 4.5833 3.0705 1.3949
Sb 3.6210 -3.0705 4.1847
P 1.4838 2.9302 3.5899
P 2.4462 -2.9302 0.8002
P 5.7581 2.9302 4.7794
P 6.7204 -2.9302 1.9896
O 3.2436 4.5651 1.7433
O 2.1423 3.5407 4.8486
O 1.9825 1.6171 3.0617
O 5.9230 4.5651 1.0465
O 5.0997 3.5407 3.5207
O 2.9448 -1.6171 0.2719
O 5.2595 1.6171 5.3077
O 3.1046 -3.5407 2.0588
O 2.2813 -4.5651 4.5331
O 6.2218 -1.6171 2.5179
O 6.0620 -3.5407 0.7310
O 4.9607 -4.5651 3.8362
```

Output
Its total energy is -127.80 eV for the cell shown. The symmetry is C2/c (15). The crystal system is monoclinic. The formation energy (no corrections) comes out at -1.835 eV per atom.

***

Entry 14:
# CsSb2PO8

An optimized crystal structure of CsSb2PO8 (PBE, Alexandria via LeMat-Bulk).

```
48
Lattice="9.2422 -3.6377 0.0000 9.2422 3.6377 0.0000 -7.0441 0.0000 12.0141" Properties=species:S:1:pos:R:3 pbc="T T T"
Cs -0.9812 0.0000 5.1589
Cs -3.9448 0.0000 10.9694
Cs 15.3852 0.0000 1.0447
Cs 12.4216 0.0000 6.8552
Sb 0.0198 1.8122 9.2456
Sb 5.2786 0.0000 2.7812
Sb 3.1519 0.0000 8.8525
Sb 11.4206 1.8122 2.7685
Sb 0.0198 -1.8122 9.2456
Sb 8.2885 0.0000 3.1616
Sb 6.1618 0.0000 9.2328
Sb 11.4206 -1.8122 2.7685
P 3.2067 0.0000 5.2585
P 7.2062 0.0000 0.0535
P 4.2342 0.0000 11.9605
P 8.2337 0.0000 6.7555
O 4.0873 1.4976 2.3194
O 2.4568 1.2760 4.7572
O 1.6384 0.0000 2.2369
O 1.9254 1.5234 8.7833
O 0.3015 1.2848 11.2088
O -0.5195 0.0000 8.6788
O 6.7617 1.3050 3.1454
O 5.8049 0.0000 0.7344
O 4.6787 1.3050 8.8687
O 3.1914 0.0000 6.7745
O 4.6753 0.0000 4.7524
O 9.5150 1.5234 3.2308
O 11.1389 1.2848 0.8052
O 2.4568 -1.2760 4.7572
O 8.3336 0.0000 1.1059
O 7.3531 1.4976 9.6947
O 4.0873 -1.4976 2.3194
O 3.1068 0.0000 10.9082
O 8.9836 1.2760 7.2568
O 0.3015 -1.2848 11.2088
O 1.9254 -1.5234 8.7833
O 6.7651 0.0000 7.2617
O 8.2490 0.0000 5.2396
O 6.7617 -1.3050 3.1454
O 5.6355 0.0000 11.2797
O 4.6787 -1.3050 8.8687
O 11.9599 0.0000 3.3353
O 11.1389 -1.2848 0.8052
O 9.5150 -1.5234 3.2308
O 9.8020 0.0000 9.7772
O 8.9836 -1.2760 7.2568
O 7.3531 -1.4976 9.6947
```

Output
Its total energy is -301.28 eV for the cell shown. The symmetry is C2/m (12). The crystal system is monoclinic. The formation energy (no corrections) comes out at -1.762 eV per atom.

***

Entry 15:
# CsPSeO2

An optimized crystal structure of CsPSeO2 (PBE, Alexandria via LeMat-Bulk).

```
5
Lattice="4.1638 0.0000 0.0000 0.0000 4.1638 0.0000 0.0000 0.0000 8.2188" Properties=species:S:1:pos:R:3 pbc="T T T"
Cs 0.0000 0.0000 0.0000
P 0.0000 0.0000 4.1094
Se 2.0819 2.0819 4.1094
O 0.0000 2.0819 0.0000
O 2.0819 0.0000 0.0000
```

Output
Its total energy is -15.00 eV for the cell shown. The symmetry is P4/mmm (123). The crystal system is tetragonal. The formation energy (no corrections) comes out at 0.933 eV per atom.

***

Entry 16:
# CsP2SeO8

An optimized crystal structure of CsP2SeO8 (PBE, Alexandria via LeMat-Bulk).

```
12
Lattice="4.0881 -2.6098 0.0000 4.0881 2.6098 0.0000 -0.9051 0.0000 8.9414" Properties=species:S:1:pos:R:3 pbc="T T T"
Cs 0.0000 0.0000 0.0000
P 2.4267 0.0000 6.0568
P 4.8444 0.0000 2.8846
Se -0.4526 0.0000 4.4707
O 1.4616 0.0000 4.8230
O 3.3729 1.2667 5.8950
O 3.8982 1.2667 3.0464
O 1.8396 0.0000 7.4319
O 5.4315 0.0000 1.5095
O 3.3729 -1.2667 5.8950
O 3.8982 -1.2667 3.0464
O 5.8095 0.0000 4.1184
```

Output
Its total energy is -74.29 eV for the cell shown. The symmetry is C2/m (12). The crystal system is monoclinic. The formation energy (no corrections) comes out at -1.622 eV per atom.

***

Entry 17:
# CsSiPO2

An optimized crystal structure of CsSiPO2 (PBE, Alexandria via LeMat-Bulk).

```
5
Lattice="3.8787 0.0000 0.0000 0.0000 3.8787 0.0000 0.0000 0.0000 4.8187" Properties=species:S:1:pos:R:3 pbc="T T T"
Cs 0.0000 0.0000 0.0000
Si 1.9394 1.9394 2.4094
P 1.9394 1.9394 0.0000
O 0.0000 1.9394 2.4094
O 1.9394 0.0000 2.4094
```

Output
Its total energy is -23.94 eV for the cell shown. The symmetry is P4/mmm (123). For the relative energy among the computed polymorphs, the calculation gives 0.000 eV per atom. The crystal system is tetragonal. The formation energy (no corrections) comes out at -0.467 eV per atom.

***

Entry 18:
# CsSiP2O

An optimized crystal structure of CsSiP2O (PBE, Alexandria via LeMat-Bulk).

```
5
Lattice="5.4741 0.0000 0.0000 0.0000 5.4741 0.0000 0.0000 0.0000 4.2118" Properties=species:S:1:pos:R:3 pbc="T T T"
Cs 0.0000 0.0000 0.0000
Si 2.7371 2.7371 2.1059
P 0.0000 2.7371 0.0000
P 2.7371 0.0000 0.0000
O 0.0000 0.0000 2.1059
```

Output
Its total energy is -13.31 eV for the cell shown. The symmetry is P4/mmm (123). The crystal system is tetragonal. The formation energy (no corrections) comes out at 1.749 eV per atom.

***

Entry 19:
# CsSiPO2

An optimized crystal structure of CsSiPO2 (PBE, Alexandria via LeMat-Bulk).

```
5
Lattice="4.1540 0.0000 0.0000 0.0000 4.1540 0.0000 0.0000 0.0000 7.0726" Properties=species:S:1:pos:R:3 pbc="T T T"
Cs 0.0000 0.0000 0.0000
Si 2.0770 2.0770 3.5363
P 0.0000 0.0000 3.5363
O 0.0000 2.0770 0.0000
O 2.0770 0.0000 0.0000
```

Output
Its total energy is -15.95 eV for the cell shown. The symmetry is P4/mmm (123). For the relative energy among the computed polymorphs, the calculation gives 1.598 eV per atom. The crystal system is tetragonal. The formation energy (no corrections) comes out at 1.131 eV per atom.